Density functional theory data (PBE) for a relaxed CeYCd crystal.

Unit cell a=3.482 b=3.482 c=14.109 alpha=90.00 beta=90.00 gamma=90.00
Space group I4mm (No. 107)
Unique sites:
Ce: 0.000 0.000 0.000 (multiplicity 2)
Y: 0.000 0.000 0.314 (multiplicity 2)
Cd: 0.000 0.000 0.663 (multiplicity 2)

Properties
For the density of states at the Fermi level, the calculation gives 2.236 states/eV/atom. Its theoretical density is 6.6 Mg/m³. As for the polymorph energy (0 for the lowest one): 0.14 eV/f.u. Its crystal system is tetragonal. The energy of formation from the pure elements comes out at -0.1049 eV/atom.

Density functional theory data (PBE) for a relaxed CeYCd2 crystal.

Unit cell a=3.4803 b=3.4803 c=31.5325 alpha=90.00 beta=90.00 gamma=120.00
Space group R-3m (No. 166, hexagonal axes)
Unique sites:
Ce: 0.0000 0.0000 0.0000 (multiplicity 3)
Y: 0.0000 0.0000 0.5000 (multiplicity 3)
Cd: 0.0000 0.0000 0.2475 (multiplicity 6)

Properties
For the density of states at the Fermi level, the calculation gives 1.693 states/eV/atom. Its theoretical density is 6.8 Mg/m³. As for the polymorph energy (0 for the lowest one): 0.60 eV/f.u. Its crystal system is trigonal. The energy of formation from the pure elements comes out at -0.0812 eV/atom.

Density functional theory data (PBE) for a relaxed CeYCd crystal.

Unit cell a=3.575 b=5.375 c=8.839 alpha=90.00 beta=101.64 gamma=90.00
Space group P2_1/m (No. 11)
Unique sites:
Ce: 0.234 0.250 0.463 (multiplicity 2)
Y: 0.085 0.750 0.172 (multiplicity 2)
Cd: 0.429 0.750 0.859 (multiplicity 2)

Properties
For the density of states at the Fermi level, the calculation gives 2.037 states/eV/atom. Its theoretical density is 6.8 Mg/m³. As for the polymorph energy (0 for the lowest one): 0.00 eV/f.u. Its crystal system is monoclinic. The energy of formation from the pure elements comes out at -0.1521 eV/atom.

Density functional theory data (PBE) for a relaxed CeY2Cd9 crystal.

Unit cell a=5.9506 b=5.9506 c=28.5444 alpha=90.00 beta=90.00 gamma=120.00
Space group R-3m (No. 166, hexagonal axes)
Unique sites:
Ce: 0.0000 0.0000 0.0000 (multiplicity 3)
Y: 0.0000 0.0000 0.1419 (multiplicity 6)
Cd: 0.0000 0.0000 0.3351 (multiplicity 6)
Cd: 0.0000 0.0000 0.5000 (multiplicity 3)
Cd: 0.0081 0.5040 0.9144 (multiplicity 18)

Properties
For the density of states at the Fermi level, the calculation gives 1.186 states/eV/atom. Its theoretical density is 7.6 Mg/m³. Its crystal system is trigonal. The energy of formation from the pure elements comes out at -0.2143 eV/atom.

Density functional theory data (PBE) for a relaxed CeY2Cd4 crystal.

Unit cell a=5.300 b=5.300 c=7.217 alpha=90.00 beta=90.00 gamma=90.00
Space group P4/mmm (No. 123)
Unique sites:
Ce: 0.000 0.000 0.000 (multiplicity 1)
Y: 0.000 0.000 0.500 (multiplicity 1)
Y: 0.500 0.500 0.000 (multiplicity 1)
Cd: 0.000 0.500 0.271 (multiplicity 4)

Properties
For the density of states at the Fermi level, the calculation gives 1.577 states/eV/atom. Its theoretical density is 6.3 Mg/m³. Its crystal system is tetragonal. The energy of formation from the pure elements comes out at -0.0807 eV/atom.

Density functional theory data (PBE) for a relaxed CeY2Cd3 crystal.

Unit cell a=3.726 b=3.726 c=11.638 alpha=90.00 beta=90.00 gamma=90.00
Space group P4/mmm (No. 123)
Unique sites:
Ce: 0.000 0.000 0.000 (multiplicity 1)
Y: 0.000 0.000 0.338 (multiplicity 2)
Cd: 0.500 0.500 0.179 (multiplicity 2)
Cd: 0.500 0.500 0.500 (multiplicity 1)

Properties
For the density of states at the Fermi level, the calculation gives 2.015 states/eV/atom. Its theoretical density is 6.7 Mg/m³. Its crystal system is tetragonal. The energy of formation from the pure elements comes out at -0.2707 eV/atom.

Density functional theory data (PBE) for a relaxed CeY2Cd crystal.

Unit cell a=3.5397 b=3.5397 c=32.3522 alpha=90.00 beta=90.00 gamma=120.00
Space group R-3m (No. 166, hexagonal axes)
Unique sites:
Ce: 0.0000 0.0000 0.0000 (multiplicity 3)
Y: 0.0000 0.0000 0.2452 (multiplicity 6)
Cd: 0.0000 0.0000 0.5000 (multiplicity 3)

Properties
For the density of states at the Fermi level, the calculation gives 1.701 states/eV/atom. Its theoretical density is 6.1 Mg/m³. As for the polymorph energy (0 for the lowest one): 0.28 eV/f.u. Its crystal system is trigonal. The energy of formation from the pure elements comes out at -0.0471 eV/atom.

Density functional theory data (PBE) for a relaxed CeYCd crystal.

Unit cell a=5.4012 b=5.4012 c=3.0898 alpha=90.00 beta=90.00 gamma=120.00
Space group P3m1 (No. 156)
Unique sites:
Ce: 0.0000 0.0000 0.0000 (multiplicity 1)
Y: 0.3333 0.6667 0.0029 (multiplicity 1)
Cd: 0.6667 0.3333 0.5014 (multiplicity 1)

Properties
For the density of states at the Fermi level, the calculation gives 1.973 states/eV/atom. Its theoretical density is 7.3 Mg/m³. As for the polymorph energy (0 for the lowest one): 0.58 eV/f.u. Its crystal system is trigonal. The energy of formation from the pure elements comes out at 0.0422 eV/atom.